# MgTaTeAs

A geometry-optimized MgTaTeAs structure (GGA-PBE, OQMD).

Output
space-group type = F-43m
crystal system = cubic
ΔE to the lowest computed polymorph = 524 meV/atom

Lattice parameters (Å, degrees): 4.877 4.877 4.877 60.00 60.00 60.00
Positions (direct):
Mg1 0.000 0.000 0.000
Ta1 0.750 0.750 0.750
Te1 0.250 0.250 0.250
As1 0.500 0.500 0.500

***

# MgTaTeAs

A geometry-optimized MgTaTeAs structure (GGA-PBE, OQMD).

Output
space-group type = F-43m
crystal system = cubic
ΔE to the lowest computed polymorph = 0 meV/atom

Lattice parameters (Å, degrees): 4.836 4.836 4.836 60.00 60.00 60.00
Positions (direct):
Mg1 0.000 0.000 0.000
Ta1 0.500 0.500 0.500
Te1 0.250 0.250 0.250
As1 0.750 0.750 0.750

***

# TmMgAs

A geometry-optimized TmMgAs structure (GGA-PBE, OQMD).

Output
space-group type = F-43m
crystal system = cubic
ΔE to the lowest computed polymorph = 246 meV/atom

Lattice parameters (Å, degrees): 4.836 4.836 4.836 60.00 60.00 60.00
Positions (direct):
Tm1 0.000 0.000 0.000
Mg1 0.250 0.250 0.250
As1 0.750 0.750 0.750

***

# TmMgAs

A geometry-optimized TmMgAs structure (GGA-PBE, OQMD).

Output
space-group type = F-43m
crystal system = cubic
ΔE to the lowest computed polymorph = 0 meV/atom

Lattice parameters (Å, degrees): 4.657 4.657 4.657 60.00 60.00 60.00
Positions (direct):
Tm1 0.000 0.000 0.000
Mg1 0.500 0.500 0.500
As1 0.750 0.750 0.750

***

# MgAsW2

A geometry-optimized MgAsW2 structure (GGA-PBE, OQMD).

Output
E = -7.587 eV/atom
space-group type = F-43m
crystal system = cubic

Lattice parameters (Å, degrees): 4.510 4.510 4.510 60.00 60.00 60.00
Positions (direct):
Mg1 0.000 0.000 0.000
As1 0.750 0.750 0.750
W1 0.250 0.250 0.250
W2 0.500 0.500 0.500

***

# MgZn2As

A geometry-optimized MgZn2As structure (GGA-PBE, OQMD).

Output
E = -2.168 eV/atom
space-group type = F-43m
crystal system = cubic

Lattice parameters (Å, degrees): 4.695 4.695 4.695 60.00 60.00 60.00
Positions (direct):
Mg1 0.000 0.000 0.000
Zn1 0.250 0.250 0.250
Zn2 0.500 0.500 0.500
As1 0.750 0.750 0.750

***

# Mo5As4

A geometry-optimized Mo5As4 structure (GGA-PBE, OQMD).

Output
E = -8.180 eV/atom
space-group type = I4/m
crystal system = tetragonal

Lattice parameters (Å, degrees): 6.884 6.884 6.884 93.04 93.04 153.36
Positions (direct):
Mo1 0.000 0.000 0.000
Mo2 0.051 0.342 0.393
Mo3 0.342 0.949 0.292
Mo4 0.658 0.051 0.708
Mo5 0.949 0.658 0.607
As1 0.325 0.358 0.683
As2 0.358 0.675 0.032
As3 0.642 0.325 0.968
As4 0.675 0.642 0.317

***

# Mo5As6

A geometry-optimized Mo5As6 structure (GGA-PBE, OQMD).

Output
E = -7.692 eV/atom
space-group type = P-3m1
crystal system = trigonal

Lattice parameters (Å, degrees): 10.408 10.408 6.058 90.00 90.00 120.00
Positions (direct):
Mo1 0.000 0.000 0.000
Mo2 0.000 0.299 0.000
Mo3 0.000 0.370 0.500
Mo4 0.000 0.630 0.500
Mo5 0.000 0.701 0.000
Mo6 0.299 0.000 0.000
Mo7 0.299 0.299 0.000
Mo8 0.333 0.667 0.514
Mo9 0.370 0.000 0.500
Mo10 0.370 0.370 0.500
Mo11 0.630 0.000 0.500
Mo12 0.630 0.630 0.500
Mo13 0.667 0.333 0.486
Mo14 0.701 0.000 0.000
Mo15 0.701 0.701 0.000
As1 0.106 0.213 0.700
As2 0.106 0.894 0.700
As3 0.122 0.561 0.810
As4 0.213 0.106 0.300
As5 0.225 0.450 0.244
As6 0.225 0.775 0.244
As7 0.439 0.561 0.810
As8 0.439 0.878 0.810
As9 0.450 0.225 0.756
As10 0.550 0.775 0.244
As11 0.561 0.122 0.190
As12 0.561 0.439 0.190
As13 0.775 0.225 0.756
As14 0.775 0.550 0.756
As15 0.787 0.894 0.700
As16 0.878 0.439 0.190
As17 0.894 0.106 0.300
As18 0.894 0.787 0.300

***

# MoAs2N

A geometry-optimized MoAs2N structure (GGA-PBE, OQMD).

Output
E = -6.470 eV/atom
space-group type = P6_3/mmc
crystal system = hexagonal

Lattice parameters (Å, degrees): 3.065 3.065 13.396 90.00 90.00 120.00
Positions (direct):
Mo1 0.333 0.667 0.250
Mo2 0.667 0.333 0.750
As1 0.333 0.667 0.607
As2 0.333 0.667 0.893
As3 0.667 0.333 0.107
As4 0.667 0.333 0.393
N1 0.000 0.000 0.000
N2 0.000 0.000 0.500

***

# Mo2AsN

A geometry-optimized Mo2AsN structure (GGA-PBE, OQMD).

Output
space-group type = C2/c
crystal system = monoclinic
ΔE to the lowest computed polymorph = 0 meV/atom

Lattice parameters (Å, degrees): 5.470 5.470 13.057 106.05 106.05 59.76
Positions (direct):
Mo1 0.047 0.097 0.390
Mo2 0.097 0.047 0.890
Mo3 0.198 0.350 0.091
Mo4 0.317 0.454 0.414
Mo5 0.350 0.198 0.591
Mo6 0.454 0.317 0.914
Mo7 0.546 0.683 0.086
Mo8 0.650 0.802 0.409
Mo9 0.683 0.546 0.586
Mo10 0.802 0.650 0.909
Mo11 0.903 0.953 0.110
Mo12 0.953 0.903 0.610
As1 0.060 0.300 0.743
As2 0.300 0.060 0.243
As3 0.400 0.600 0.750
As4 0.600 0.400 0.250
As5 0.700 0.940 0.757
As6 0.940 0.700 0.257
N1 0.000 0.500 0.500
N2 0.153 0.735 0.973
N3 0.265 0.847 0.527
N4 0.500 0.000 0.000
N5 0.735 0.153 0.473
N6 0.847 0.265 0.027

***

# Mo2AsN

A geometry-optimized Mo2AsN structure (GGA-PBE, OQMD).

Output
space-group type = P6_3/mmc
crystal system = hexagonal
ΔE to the lowest computed polymorph = 46 meV/atom

Lattice parameters (Å, degrees): 3.018 3.018 13.165 90.00 90.00 120.00
Positions (direct):
Mo1 0.333 0.667 0.100
Mo2 0.333 0.667 0.400
Mo3 0.667 0.333 0.600
Mo4 0.667 0.333 0.900
As1 0.333 0.667 0.750
As2 0.667 0.333 0.250
N1 0.000 0.000 0.000
N2 0.000 0.000 0.500

***

# Nb2Mo4As3N3

A geometry-optimized Nb2Mo4As3N3 structure (GGA-PBE, OQMD).

Output
E = -8.823 eV/atom
space-group type = C2/c
crystal system = monoclinic

Lattice parameters (Å, degrees): 5.640 5.640 12.474 103.21 103.21 60.37
Positions (direct):
Nb1 0.024 0.841 0.592
Nb2 0.159 0.976 0.908
Nb3 0.841 0.024 0.092
Nb4 0.976 0.159 0.408
Mo1 0.198 0.391 0.090
Mo2 0.329 0.440 0.412
Mo3 0.391 0.198 0.590
Mo4 0.440 0.329 0.912
Mo5 0.560 0.671 0.088
Mo6 0.609 0.802 0.410
Mo7 0.671 0.560 0.588
Mo8 0.802 0.609 0.910
As1 0.082 0.265 0.749
As2 0.265 0.082 0.249
As3 0.427 0.573 0.750
As4 0.573 0.427 0.250
As5 0.735 0.918 0.751
As6 0.918 0.735 0.251
N1 0.000 0.500 0.500
N2 0.158 0.687 0.000
N3 0.313 0.842 0.500
N4 0.500 0.000 0.000
N5 0.687 0.158 0.500
N6 0.842 0.313 0.000

***

What is the formula in the second record?
MgTaTeAs